1.
Here is crystalline AcDyAl2Au2 at its relaxed geometry from Alexandria. Energies are from GGA-PBE. Values from VASP.

The structure in Quantum ESPRESSO input format:
```
&SYSTEM
  ibrav = 0, nat = 6, ntyp = 4
/
ATOMIC_SPECIES
Ac 227.00 Ac.upf
Dy 162.50 Dy.upf
Al 26.98 Al.upf
Au 196.97 Au.upf
CELL_PARAMETERS angstrom
4.616 0.000 0.000
-2.308 3.997 0.000
0.000 0.000 7.774
ATOMIC_POSITIONS angstrom
Ac 0.000 0.000 0.000
Dy 0.000 0.000 3.887
Al 0.000 2.665 5.467
Al 2.308 1.332 2.307
Au 0.000 2.665 2.282
Au 2.308 1.332 5.492
```

energy relative to the elements: -725 meV per atom
V: 23.90 Å³/atom
symmetry: P-3m1, No. 164
Fermi-level density of states: 0.84 states/eV per atom



2.
Here is crystalline Pu2UGe2Rh2 at its relaxed geometry from Alexandria. Energies are from GGA-PBE. Values from VASP.

The structure in Quantum ESPRESSO input format:
```
&SYSTEM
  ibrav = 0, nat = 7, ntyp = 4
/
ATOMIC_SPECIES
Pu 244.00 Pu.upf
U 238.03 U.upf
Ge 72.64 Ge.upf
Rh 102.91 Rh.upf
CELL_PARAMETERS angstrom
2.279 1.316 7.716
-2.279 1.316 7.716
0.000 -2.632 7.716
ATOMIC_POSITIONS angstrom
Pu 0.000 0.000 2.963
Pu 0.000 0.000 20.185
U 0.000 0.000 0.000
Ge 0.000 0.000 6.149
Ge 0.000 0.000 16.999
Rh 0.000 0.000 9.074
Rh 0.000 0.000 14.074
```

energy relative to the elements: -504 meV per atom
V: 19.83 Å³/atom
symmetry: R-3m, No. 166
Fermi-level density of states: 1.39 states/eV per atom



3.
Here is crystalline TmScGeSe at its relaxed geometry from Alexandria. Energies are from GGA-PBE. Values from VASP.

The structure in Quantum ESPRESSO input format:
```
&SYSTEM
  ibrav = 0, nat = 4, ntyp = 4
/
ATOMIC_SPECIES
Tm 168.93 Tm.upf
Sc 44.96 Sc.upf
Ge 72.64 Ge.upf
Se 78.96 Se.upf
CELL_PARAMETERS angstrom
1.989 1.148 6.572
-1.989 1.148 6.572
0.000 -2.297 6.572
ATOMIC_POSITIONS angstrom
Tm 0.000 0.000 0.000
Sc 0.000 0.000 9.684
Ge 0.000 0.000 14.783
Se 0.000 0.000 4.788
```

uncorrected formation energy: -1.289 eV/atom
V: 22.52 Å³/atom
symmetry: R3m, No. 160
Fermi-level density of states: 0.21 states/eV per atom